DFT (GGA-PBE) results for a relaxed structure of Y3Mg3TlCuHg.

abc: 7.693 7.693 4.229
angles: 90.00 90.00 120.00
Fractional positions:
Y 0.073 0.733 0.000
Y 0.267 0.340 0.000
Y 0.660 0.927 0.000
Mg 0.432 0.097 0.500
Mg 0.664 0.568 0.500
Mg 0.903 0.336 0.500
Tl 0.000 0.000 0.500
Cu 0.667 0.333 0.000
Hg 0.333 0.667 0.500

Output
Total magnetization in μB per formula unit: 0.02
Total energy in eV/atom: -3.71
Symmetry: No. 174